Computed, not measured: an optimized crystal structure of SrTiNiAs2 at the GGA-PBE level of DFT.

abc: 4.0030 4.0030 7.0105
angles: 106.59 106.59 90.00
Fractional coordinates of all 5 atoms:
1 Ni 0.7500 0.2500 0.5000
2 As 0.3644 0.3644 0.7288
3 Ti 0.2500 0.7500 0.5000
4 Sr 0.0000 0.0000 0.0000
5 As 0.6356 0.6356 0.2712

Summary:
D(E_F)	0.22	states/eV per atom
energy of formation	-0.89	eV per atom
SG	I-4m2

---

Computed, not measured: an optimized crystal structure of V2HgCl8 at the GGA-PBE level of DFT.

abc: 9.3496 7.6158 7.6158
angles: 57.54 71.12 71.12
Last column: magnetic moment on the atom in μB.
Fractional coordinates of all 11 atoms:
1 Cl 0.5527 0.1604 0.1604  -0.01
2 V 0.3063 0.2100 0.2100  0.97
3 Cl 0.4473 0.8396 0.8396  -0.01
4 Cl 0.7971 0.6173 0.6173  -0.01
5 Cl 0.7672 0.6161 0.0892  -0.01
6 Cl 0.2328 0.9108 0.3839  -0.01
7 Hg 0.0000 0.0000 0.0000  -0.02
8 Cl 0.7672 0.0892 0.6161  -0.01
9 Cl 0.2029 0.3827 0.3827  -0.01
10 V 0.6937 0.7900 0.7900  0.97
11 Cl 0.2328 0.3839 0.9108  -0.01

Summary:
D(E_F)	1.16	states/eV per atom
SG	C2/m
electronic total energy	-4.06	eV per atom

---

Computed, not measured: an optimized crystal structure of In3Ag8 at the GGA-PBE level of DFT.

abc: 6.3690 6.3690 6.3690
angles: 96.25 96.25 96.25
Fractional coordinates of all 11 atoms:
1 Ag 0.3585 0.3585 0.3585
2 Ag 0.9509 0.3101 0.0768
3 In 0.5000 0.5000 0.0000
4 In 0.5000 0.0000 0.5000
5 Ag 0.0491 0.6899 0.9232
6 Ag 0.9232 0.0491 0.6899
7 Ag 0.3101 0.0768 0.9509
8 Ag 0.6899 0.9232 0.0491
9 Ag 0.6415 0.6415 0.6415
10 Ag 0.0768 0.9509 0.3101
11 In 0.0000 0.5000 0.5000

Summary:
D(E_F)	0.29	states/eV per atom
energy of formation	0.22	eV per atom
SG	R-3
relative energy among the computed polymorphs	0.245	eV per atom

---

The lowest D(E_F) belongs to which entry?
SrTiNiAs2

---

Which value of D(E_F) does entry 1 give?
0.22 states/eV per atom